{"formula": "LiHg4Pb", "functional": "PBE-GGA", "state": "optimized geometry", "cell": [[0.0000, 4.2701, 4.2701], [4.2701, 0.0000, 4.2701], [4.2701, 4.2701, 0.0000]], "species": ["Li", "Hg", "Hg", "Hg", "Hg", "Pb"], "frac_coords": [[0.0000, 0.0000, 0.0000], [0.3746, 0.3746, 0.3746], [0.3746, 0.3746, 0.8761], [0.3746, 0.8761, 0.3746], [0.8761, 0.3746, 0.3746], [0.7500, 0.7500, 0.7500]], "dft_energy_ev_per_atom": -1.141, "e_above_lowest_polymorph_mev_per_atom": 23, "total_magnetization_mub_per_cell": 0.0, "spacegroup": "F-43m"}

***

{"formula": "CdTe3Au", "functional": "PBE-GGA", "state": "optimized geometry", "cell": [[5.4775, 0.0000, 0.0000], [0.0000, 5.4775, 0.0000], [0.0000, 0.0000, 5.4775]], "species": ["Cd", "Te", "Te", "Te", "Au"], "frac_coords": [[0.0000, 0.0000, 0.0000], [0.0000, 0.5000, 0.5000], [0.5000, 0.0000, 0.5000], [0.5000, 0.5000, 0.0000], [0.5000, 0.5000, 0.5000]], "dft_energy_ev_per_atom": -2.280, "e_above_lowest_polymorph_mev_per_atom": 0, "raw_formation_energy_ev_per_fu": 2.2, "total_magnetization_mub_per_cell": 0.0, "spacegroup": "Pm-3m"}